No. 1
Computed, not measured: a relaxed structure of Ce2Ho3TmS6 at the GGA-PBE level of DFT.

Its uncorrected formation energy is -1.996 eV per atom.

It has space group C2/m (No. 12), with a = 17.1223 Å, b = 3.9064 Å, c = 7.8928 Å, α = 90.00°, β = 103.59° and γ = 90.00°. The inequivalent atoms are Ce at (0.1677, 0.0000, 0.3366), Ho at (0.0000, 0.5000, 0.5000), Ho at (0.1683, 0.0000, 0.8325), Tm at (0.0000, 0.5000, 0.0000), S at (0.0032, 0.0000, 0.7552), S at (0.1630, 0.5000, 0.5914) and S at (0.1647, 0.5000, 0.0739).


No. 2
Computed, not measured: a relaxed structure of BaNaAc at the GGA-PBE level of DFT.

The value obtained for the calculated formation energy is 0.37 eV/f.u.

It has space group P3m1 (No. 156), with a = 4.0736 Å, b = 4.0736 Å, c = 10.0617 Å, α = 90.00°, β = 90.00° and γ = 120.00°. The inequivalent atoms are Ba at (0.0000, 0.0000, 0.0000), Na at (0.3333, 0.6667, 0.6589) and Ac at (0.6667, 0.3333, 0.3399).


| no. | E_tot (eV/atom) | D(E_F) (states/eV per atom) |
| --- | --- | --- |
| 1 | -6.57 | 1.044 |
| 2 | -2.33 | 1.230 |